Material: La2PmSm2
Method: DFT, PBE-GGA
State: optimized geometry

energy above the lowest structure with this stoichiometry	0.000	eV/atom
formation energy from the elements	0.0598	eV/atom
D(E_F)	1.68	states/eV/atom
size of the total moment	0.0	Bohr magnetons per cell
E_tot	-0.175	hartree per atom

Cell: 5.571 3.579 9.230 Å, 90.00 107.49 90.00°
Sites, in units of the cell vectors:
La: 0.197 0.000 0.396
La: 0.803 0.000 0.604
Pm: 0.000 0.000 0.000
Sm: 0.399 0.500 0.797
Sm: 0.601 0.500 0.203